! Rb4MnF6 | Alexandria | PBE with a Hubbard U | relaxed; values from VASP
! - Final energy: -4.756 eV/atom
! - Space-group type: No. 167
! - Total magnetic moment: 5.000 μB/f.u.
! - DOS(E_F): 0.0 states/eV per cell
&SYSTEM
  ibrav = 0, nat = 22, ntyp = 3
/
ATOMIC_SPECIES
Rb 85.47 Rb.upf
F 19.00 F.upf
Mn 54.94 Mn.upf
CELL_PARAMETERS angstrom
-1.638 -7.393 -1.256
2.019 -1.779 7.189
-7.220 1.329 2.243
ATOMIC_POSITIONS angstrom
Rb -6.844 -5.054 3.817
Rb -5.319 -1.296 3.165
Rb -3.108 -1.363 6.626
Rb -4.632 -5.121 7.278
Rb -3.731 -6.481 1.550
Rb 0.006 -2.790 4.358
Rb -2.206 -2.723 0.898
Rb -1.519 -6.547 5.010
F -2.702 -1.890 3.786
F -5.123 -3.146 5.197
F -2.272 -4.063 5.931
F 0.006 -0.923 1.971
F -4.567 -3.781 2.244
F -6.844 -6.921 6.205
F -0.156 -1.727 7.209
F -1.715 -4.698 2.979
F -5.247 -2.425 8.518
F -6.682 -6.117 0.966
F -4.136 -5.954 4.389
F -1.591 -5.419 -0.342
Mn -3.419 -3.922 4.088
Mn 0.000 0.000 0.000